DFT (PBE with a Hubbard U) results for NiPtNO2 after structural relaxation.

The density of states at the Fermi level comes out at 4.25 states/eV per cell. The total energy comes out at -4.391 eV per atom.

```
data_NiPtNO2
_cell_length_a 3.706
_cell_length_b 3.706
_cell_length_c 3.810
_cell_angle_alpha 90.00
_cell_angle_beta 90.00
_cell_angle_gamma 90.00
_symmetry_space_group_name_H-M 'P 4/m m m'
_symmetry_Int_Tables_number 123
_symmetry_space_group_name_Hall '-P 4 2'
loop_
_atom_site_label
_atom_site_type_symbol
_atom_site_fract_x
_atom_site_fract_y
_atom_site_fract_z
Ni1 Ni 0.000 0.000 0.000
Pt1 Pt 0.500 0.500 0.500
N1 N 0.000 0.000 0.500
O1 O 0.000 0.500 0.000
```